Material: LiAc2Tm
Method: DFT, PBE
State: relaxed

As for the total magnetization: 0.0 μB per cell. Its energy is -14.3 eV/cell. Its theoretical density is 7.3 g/cm3. The value obtained for the energy of formation from the pure elements is 7.36 kJ per mole of atoms.

It has space group P4/mmm (No. 123), with a = 4.059 Å, b = 4.059 Å, c = 8.696 Å, α = 90.00°, β = 90.00° and γ = 90.00°. The distinct sites, in fractional coordinates, are Li at (0.000, 0.000, 0.000), Ac at (0.500, 0.500, 0.239) and Tm at (0.000, 0.000, 0.500).